Compound: Ga2Br
Source: Alexandria
Functional: PBE
Structure: relaxed

Calculated values
Offset from the most stable computed form = 9 meV/atom

a = 3.660 Å, b = 5.986 Å, c = 7.422 Å
α = 89.14°, β = 87.22°, γ = 72.34°
Element x y z (fractional)
Ga 0.151 0.125 0.312
Ga 0.726 0.976 0.565
Ga 0.733 0.963 0.065
Ga 0.308 0.814 0.812
Br 0.525 0.365 0.813
Br 0.923 0.575 0.313



Compound: Ga2Br
Source: Alexandria
Functional: PBE
Structure: relaxed

Calculated values
Offset from the most stable computed form = 6 meV/atom

a = 11.899 Å, b = 4.684 Å, c = 11.226 Å
α = 90.00°, β = 149.81°, γ = 90.00°
Element x y z (fractional)
Ga 0.162 0.039 0.883
Ga 0.338 0.039 0.617
Ga 0.838 0.961 0.117
Ga 0.838 0.461 0.617
Ga 0.662 0.961 0.383
Ga 0.338 0.539 0.117
Ga 0.162 0.539 0.383
Ga 0.662 0.461 0.883
Br 0.750 0.750 0.250
Br 0.750 0.250 0.750
Br 0.250 0.250 0.750
Br 0.250 0.750 0.250



Compound: Ga2Br
Source: Alexandria
Functional: PBE
Structure: relaxed

Calculated values
Offset from the most stable computed form = 28 meV/atom

a = 6.027 Å, b = 3.678 Å, c = 8.504 Å
α = 90.00°, β = 115.08°, γ = 90.00°
Element x y z (fractional)
Ga 0.751 0.500 0.522
Ga 0.838 0.500 0.258
Ga 0.838 0.000 0.758
Ga 0.751 0.000 0.022
Br 0.291 0.500 0.303
Br 0.291 0.000 0.803



Compound: Ga4Br5
Source: Alexandria
Functional: PBE
Structure: relaxed

a = 7.738 Å, b = 7.467 Å, c = 7.467 Å
α = 74.43°, β = 58.79°, γ = 58.79°
Element x y z (fractional)
Ga 0.000 0.322 0.678
Ga 0.678 0.322 0.322
Ga 0.000 0.678 0.322
Ga 0.322 0.678 0.678
Br 0.697 0.000 0.606
Br 0.697 0.606 0.000
Br 0.000 0.000 0.000
Br 0.303 0.000 0.394
Br 0.303 0.394 0.000



| no. | E_form (uncorrected) (meV per atom) | calculated total energy (eV per atom) | ρ (g/cm3) |
| --- | --- | --- | --- |
| 1 | -270 | -2.85 | 4.708 |
| 2 | -274 | -2.85 | 4.631 |
| 3 | -251 | -2.83 | 4.266 |
| 4 | -307 | -2.58 | 3.569 |